Arrangement i

The following is a DFT calculation (PBE-GGA) of TaRe3Br after structural relaxation.

Geometry as CIF:
```
data_TaRe3Br
_chemical_formula_sum 'Ta1 Re3 Br1'
_space_group_name_H-M_alt 'P m -3 m'
_space_group_IT_number 221
_space_group_name_Hall '-P 4 2 3'
_cell_length_a 4.880
_cell_length_b 4.880
_cell_length_c 4.880
_cell_angle_alpha 90.00
_cell_angle_beta 90.00
_cell_angle_gamma 90.00
loop_
_atom_site_label
_atom_site_type_symbol
_atom_site_fract_x
_atom_site_fract_y
_atom_site_fract_z
Ta1 Ta 0.000 0.000 0.000
Re1 Re 0.000 0.000 0.500
Br1 Br 0.500 0.500 0.500
```

=====

Arrangement ii

The following is a DFT calculation (PBE-GGA) of TaRe3Br after structural relaxation.

Geometry as CIF:
```
data_TaRe3Br
_chemical_formula_sum 'Ta1 Re3 Br1'
_space_group_name_H-M_alt 'P m -3 m'
_space_group_IT_number 221
_space_group_name_Hall '-P 4 2 3'
_cell_length_a 4.516
_cell_length_b 4.516
_cell_length_c 4.516
_cell_angle_alpha 90.00
_cell_angle_beta 90.00
_cell_angle_gamma 90.00
loop_
_atom_site_label
_atom_site_type_symbol
_atom_site_fract_x
_atom_site_fract_y
_atom_site_fract_z
Ta1 Ta 0.000 0.000 0.000
Re1 Re 0.000 0.500 0.500
Br1 Br 0.500 0.500 0.500
```

=====

It is arrangement ii that is the most stable of them.